# LiMnPO4 (GGA+U, relaxed)
data_LiMnPO4
_space_group_name_H-M_alt 'P 1'
_space_group_IT_number 1
_cell_length_a 5.5342
_cell_length_b 5.5342
_cell_length_c 6.6914
_cell_angle_alpha 103.25
_cell_angle_beta 103.25
_cell_angle_gamma 53.70
loop_
_space_group_symop_operation_xyz
'x,y,z'
loop_
_atom_site_label
_atom_site_fract_x
_atom_site_fract_y
_atom_site_fract_z
Li1 0.0000 0.0000 0.0000
Li2 0.9678 0.0322 0.5000
Mn1 0.2886 0.4177 0.7727
Mn2 0.5823 0.7114 0.2273
P1 0.2539 0.3968 0.2709
P2 0.6032 0.7461 0.7291
O1 0.0222 0.3146 0.1700
O2 0.1456 0.5837 0.4803
O3 0.2469 0.5902 0.1267
O4 0.4098 0.7531 0.8733
O5 0.4163 0.8544 0.5197
O6 0.5806 0.1103 0.2957
O7 0.6854 0.9778 0.8300
O8 0.8897 0.4194 0.7043
# * total magnetization: 5.00 μB/f.u.
# * ρ: 3.26 g/cm3
# * DFT total energy: -0.52279 Ry/atom